A.
DFT (GGA-PBE) results for a relaxed structure of Au3Cl.

Values from the calculation:
The value obtained for the calculated density is 12.6 g cm⁻³.

Cell: 9.2042 3.3082 10.8643 Å, 90.00 90.00 90.00°
Atoms (fractional coordinates):
Au (0.1343, 0.2514, 0.7500)
Au (0.6343, 0.2486, 0.2500)
Au (0.3657, 0.7514, 0.7500)
Au (0.8657, 0.7486, 0.2500)
Au (0.6258, 0.2499, 0.9963)
Au (0.1258, 0.2501, 0.0037)
Au (0.8742, 0.7499, 0.5037)
Au (0.3742, 0.7501, 0.4963)
Au (0.3742, 0.7501, 0.0037)
Au (0.8742, 0.7499, 0.9963)
Au (0.1258, 0.2501, 0.4963)
Au (0.6258, 0.2499, 0.5037)
Cl (0.5919, 0.2513, 0.7500)
Cl (0.0919, 0.2487, 0.2500)
Cl (0.9081, 0.7513, 0.7500)
Cl (0.4081, 0.7487, 0.2500)

B.
DFT (GGA-PBE) results for a relaxed structure of Au3Cl.

Values from the calculation:
The value obtained for the calculated density is 13.7 g cm⁻³.

Cell: 4.2326 4.2326 4.2326 Å, 90.00 90.00 90.00°
Atoms (fractional coordinates):
Au (0.0000, 0.5000, 0.5000)
Au (0.5000, 0.0000, 0.5000)
Au (0.5000, 0.5000, 0.0000)
Cl (0.0000, 0.0000, 0.0000)

Most stable: A. Least stable: B.

A.
DFT (GGA-PBE) results for a relaxed structure of Au3Cl.

Values from the calculation:
The value obtained for the calculated density is 12.2 g cm⁻³.

Cell: 4.5364 5.6077 6.6771 Å, 90.00 90.00 90.00°
Atoms (fractional coordinates):
Au (0.5000, 0.0000, 0.2750)
Au (0.0000, 0.5000, 0.7250)
Au (0.0000, 0.7508, 0.1130)
Au (0.0000, 0.2492, 0.1130)
Au (0.5000, 0.2507, 0.8870)
Au (0.5000, 0.7492, 0.8870)
Cl (0.0000, 0.0000, 0.5341)
Cl (0.5000, 0.5000, 0.4659)

B.
DFT (GGA-PBE) results for a relaxed structure of Au3Cl.

Values from the calculation:
The value obtained for the calculated density is 12.2 g cm⁻³.

Cell: 3.4498 3.5438 6.9841 Å, 89.79 90.00 90.00°
Atoms (fractional coordinates):
Au (0.0000, 0.2485, 0.9519)
Au (0.5000, 0.7500, 0.7500)
Au (0.0000, 0.2515, 0.5481)
Cl (0.5000, 0.2500, 0.2500)

C.
DFT (GGA-PBE) results for a relaxed structure of Au3Cl.

Values from the calculation:
The value obtained for the calculated density is 13.7 g cm⁻³.

Cell: 5.5353 5.5353 5.5353 Å, 116.92 116.92 116.92°
Atoms (fractional coordinates):
Au (0.0000, 0.0000, 0.0000)
Au (0.5000, 0.0000, 0.5000)
Au (0.5000, 0.5000, 0.0000)
Cl (0.0000, 0.5000, 0.5000)

D.
DFT (GGA-PBE) results for a relaxed structure of Au3Cl.

Values from the calculation:
The value obtained for the calculated density is 13.5 g cm⁻³.

Cell: 3.2370 3.2370 8.6200 Å, 84.71 84.71 59.31°
Atoms (fractional coordinates):
Au (0.5000, 0.5000, 0.5000)
Au (0.2177, 0.2177, 0.2529)
Au (0.7823, 0.7823, 0.7471)
Cl (0.0000, 0.0000, 0.0000)

Most stable: B. Least stable: C.

A.
DFT (GGA-PBE) results for a relaxed structure of Au3Cl.

Values from the calculation:
The value obtained for the calculated density is 12.7 g cm⁻³.

Cell: 6.6400 6.6400 6.6400 Å, 154.14 139.92 48.32°
Atoms (fractional coordinates):
Au (0.2213, 0.2213, 0.0000)
Au (0.7787, 0.7787, 0.0000)
Au (0.0000, 0.5000, 0.5000)
Cl (0.5000, 0.0000, 0.5000)

B.
DFT (GGA-PBE) results for a relaxed structure of Au3Cl.

Values from the calculation:
The value obtained for the calculated density is 13.2 g cm⁻³.

Cell: 5.9466 5.9466 4.7009 Å, 90.00 90.00 108.40°
Atoms (fractional coordinates):
Au (0.1875, 0.8125, 0.7500)
Au (0.8125, 0.1875, 0.2500)
Au (0.7130, 0.8873, 0.7500)
Au (0.2870, 0.1127, 0.2500)
Au (0.8873, 0.7130, 0.2500)
Au (0.1127, 0.2870, 0.7500)
Cl (0.6178, 0.3822, 0.7500)
Cl (0.3822, 0.6178, 0.2500)

C.
DFT (GGA-PBE) results for a relaxed structure of Au3Cl.

Values from the calculation:
The value obtained for the calculated density is 13.8 g cm⁻³.

Cell: 5.0940 5.0940 5.0940 Å, 130.04 130.04 73.34°
Atoms (fractional coordinates):
Au (0.7500, 0.2500, 0.5000)
Au (0.2500, 0.7500, 0.5000)
Au (0.5000, 0.5000, 0.0000)
Cl (0.0000, 0.0000, 0.0000)

D.
DFT (GGA-PBE) results for a relaxed structure of Au3Cl.

Values from the calculation:
The value obtained for the calculated density is 12.3 g cm⁻³.

Cell: 3.4290 4.1128 6.0010 Å, 90.00 90.00 90.00°
Atoms (fractional coordinates):
Au (0.0000, 0.0000, 0.9516)
Au (0.5000, 0.0000, 0.5457)
Au (0.5000, 0.5000, 0.8467)
Cl (0.0000, 0.5000, 0.3226)

Most stable: D. Least stable: C.

A.
DFT (GGA-PBE) results for a relaxed structure of Au3Cl.

Values from the calculation:
The value obtained for the calculated density is 13.7 g cm⁻³.

Cell: 4.7561 4.7561 4.7561 Å, 60.00 60.00 60.00°
Atoms (fractional coordinates):
Au (0.0000, 0.0000, 0.0000)
Au (0.2500, 0.2500, 0.2500)
Au (0.5000, 0.5000, 0.5000)
Cl (0.7500, 0.7500, 0.7500)

B.
DFT (GGA-PBE) results for a relaxed structure of Au3Cl.

Values from the calculation:
The value obtained for the calculated density is 13.7 g cm⁻³.

Cell: 3.1184 3.1184 8.9027 Å, 90.00 90.00 118.55°
Atoms (fractional coordinates):
Au (0.0000, 0.0000, 0.0041)
Au (0.5000, 0.5000, 0.7500)
Au (0.0000, 0.0000, 0.4959)
Cl (0.5000, 0.5000, 0.2500)

Most stable: B. Least stable: A.

A.
DFT (GGA-PBE) results for a relaxed structure of Au2Cl3.

Values from the calculation:
The value obtained for the calculated density is 5.1 g cm⁻³.

Cell: 9.6339 9.6328 7.3838 Å, 126.36 126.37 95.22°
Atoms (fractional coordinates):
Au (0.2759, 0.8990, 0.2058)
Au (0.6932, 0.0699, 0.7940)
Au (0.1490, 0.0259, 0.7059)
Au (0.3198, 0.4431, 0.2939)
Cl (0.3854, 0.3854, 0.9999)
Cl (0.6355, 0.1355, 0.4998)
Cl (0.9790, 0.7654, 0.6190)
Cl (0.1463, 0.3603, 0.3812)
Cl (0.0157, 0.7292, 0.1194)
Cl (0.6103, 0.8963, 0.8811)

B.
DFT (GGA-PBE) results for a relaxed structure of Au2Cl3.

Values from the calculation:
The value obtained for the calculated density is 5.3 g cm⁻³.

Cell: 12.4362 10.1165 7.8307 Å, 86.74 54.31 38.95°
Atoms (fractional coordinates):
Au (0.6983, 0.0678, 0.1525)
Au (0.0814, 0.1525, 0.0678)
Au (0.0975, 0.1686, 0.5517)
Au (0.1822, 0.5517, 0.1686)
Cl (0.8594, 0.7641, 0.2285)
Cl (0.1481, 0.2285, 0.7641)
Cl (0.0215, 0.1019, 0.3906)
Cl (0.4859, 0.3906, 0.1019)
Cl (0.2128, 0.2872, 0.2872)
Cl (0.9628, 0.0372, 0.0372)

C.
DFT (GGA-PBE) results for a relaxed structure of Au2Cl3.

Values from the calculation:
The value obtained for the calculated density is 6.7 g cm⁻³.

Cell: 8.9396 8.9396 8.9396 Å, 26.27 26.27 26.27°
Atoms (fractional coordinates):
Au (0.3958, 0.3958, 0.3958)
Au (0.6042, 0.6042, 0.6042)
Cl (0.0000, 0.0000, 0.0000)
Cl (0.7698, 0.7698, 0.7698)
Cl (0.2302, 0.2302, 0.2302)

Most stable: A. Least stable: C.

A.
DFT (GGA-PBE) results for a relaxed structure of CoAu2Cl6.

Values from the calculation:
The value obtained for the calculated density is 4.7 g cm⁻³.

Cell: 6.1596 8.9168 8.9168 Å, 75.37 87.67 87.67°
Atoms (fractional coordinates):
Co (0.2500, 0.0768, 0.9232)
Co (0.7500, 0.9232, 0.0768)
Au (0.2447, 0.5352, 0.6811)
Au (0.2553, 0.3189, 0.4648)
Au (0.7553, 0.4648, 0.3189)
Au (0.7447, 0.6811, 0.5352)
Cl (0.3571, 0.7644, 0.5075)
Cl (0.1429, 0.4925, 0.2356)
Cl (0.6429, 0.2356, 0.4925)
Cl (0.8571, 0.5075, 0.7644)
Cl (0.8797, 0.8797, 0.3169)
Cl (0.6203, 0.6831, 0.1203)
Cl (0.1203, 0.1203, 0.6831)
Cl (0.3797, 0.3169, 0.8797)
Cl (0.0748, 0.8469, 0.9801)
Cl (0.4252, 0.0199, 0.1531)
Cl (0.9252, 0.1531, 0.0199)
Cl (0.5748, 0.9801, 0.8469)

B.
DFT (GGA-PBE) results for a relaxed structure of CoAu2Cl6.

Values from the calculation:
The value obtained for the calculated density is 4.0 g cm⁻³.

Cell: 6.0438 9.8481 9.8481 Å, 71.85 82.98 82.98°
Atoms (fractional coordinates):
Co (0.2500, 0.0710, 0.9290)
Co (0.7500, 0.9290, 0.0710)
Au (0.0129, 0.9433, 0.6516)
Au (0.4871, 0.3484, 0.0567)
Au (0.9871, 0.0567, 0.3484)
Au (0.5129, 0.6516, 0.9433)
Cl (0.3329, 0.6390, 0.7582)
Cl (0.1671, 0.2418, 0.3610)
Cl (0.6671, 0.3610, 0.2418)
Cl (0.8329, 0.7582, 0.6390)
Cl (0.8331, 0.8697, 0.3014)
Cl (0.6669, 0.6986, 0.1303)
Cl (0.1669, 0.1303, 0.6986)
Cl (0.3331, 0.3014, 0.8697)
Cl (0.0996, 0.8583, 0.9872)
Cl (0.4004, 0.0128, 0.1417)
Cl (0.9004, 0.1417, 0.0128)
Cl (0.5996, 0.9872, 0.8583)

Most stable: B. Least stable: A.